[1]
Computed, not measured: crystalline Ba2NiSN at its relaxed geometry at the PBE-GGA level of DFT.

- Energy relative to the elements, uncorrected: -0.9776 eV/atom
- Theoretical density: 5.41 g/cm³

a b c (Å): 5.654 5.654 3.644
angles (deg): 90.00 90.00 90.00
Element x y z (fractional)
Ni 0.000 0.000 0.500
S 0.500 0.500 0.500
Ba 0.000 0.500 0.000
Ba 0.500 0.000 0.000
N 0.000 0.000 0.000

---

[2]
Computed, not measured: crystalline BaNiS2N at its relaxed geometry at the PBE-GGA level of DFT.

- Energy relative to the elements, uncorrected: 1.6575 eV/atom
- Theoretical density: 3.04 g/cm³

a b c (Å): 5.735 5.735 4.547
angles (deg): 90.00 90.00 90.00
Element x y z (fractional)
Ni 0.500 0.500 0.500
S 0.000 0.500 0.000
S 0.500 0.000 0.000
Ba 0.000 0.000 0.000
N 0.000 0.000 0.500

---

[3]
Computed, not measured: crystalline Ba2NiSbN at its relaxed geometry at the PBE-GGA level of DFT.

- Energy relative to the elements, uncorrected: -0.6146 eV/atom
- Theoretical density: 5.86 g/cm³

a b c (Å): 6.102 6.102 3.570
angles (deg): 90.00 90.00 90.00
Element x y z (fractional)
Sb 0.500 0.500 0.500
N 0.000 0.000 0.000
Ba 0.000 0.500 0.000
Ba 0.500 0.000 0.000
Ni 0.000 0.000 0.500

---

[4]
Computed, not measured: crystalline Ba2Ni2Sb2N at its relaxed geometry at the PBE-GGA level of DFT.

- Energy relative to the elements, uncorrected: -0.5850 eV/atom
- Theoretical density: 6.30 g/cm³

a b c (Å): 4.293 6.804 6.781
angles (deg): 69.60 71.55 71.61
Element x y z (fractional)
Ba 0.555 0.185 0.705
Ba 0.445 0.815 0.295
Ni 0.160 0.756 0.924
Ni 0.840 0.244 0.076
Sb 0.199 0.385 0.217
Sb 0.801 0.615 0.783
N 0.000 0.000 0.000